1.
The following is a DFT calculation (PBE) of a geometry-optimized TlCdBr4 structure.

Properties
The energy relative to the lowest polymorph listed for this composition comes out at 0 meV per atom.

Cell: 6.8139 4.1501 7.3919 Å, 90.00 91.87 90.00°
Last column: nearest neighbours and their distance in Å.
Positions (direct):
1 Tl 0.0000 0.0000 0.0000  6 Br 3.03-3.04
2 Cd 0.0000 0.5000 0.5000  6 Br 2.82-2.84
3 Br 0.2335 0.0000 0.3569  2 Cd 2.84, 1 Tl 3.04
4 Br 0.2464 0.5000 0.8133  1 Cd 2.82, 2 Tl 3.03
5 Br 0.7536 0.5000 0.1867  1 Cd 2.82, 2 Tl 3.03
6 Br 0.7665 0.0000 0.6431  2 Cd 2.84, 1 Tl 3.04

2.
The following is a DFT calculation (PBE) of a geometry-optimized TlCd2Br2 structure.

Properties
The energy relative to the lowest polymorph listed for this composition comes out at 0 meV per atom.

Cell: 9.7323 9.7323 9.7323 Å, 155.66 155.66 34.69°
Last column: nearest neighbours and their distance in Å.
Positions (direct):
1 Tl 0.0000 0.0000 0.0000  8 Br 3.49
2 Cd 0.2500 0.7500 0.5000  4 Cd 2.90
3 Cd 0.7500 0.2500 0.5000  4 Cd 2.90
4 Br 0.3957 0.3957 0.0000  4 Cd 3.40, 4 Tl 3.49
5 Br 0.6043 0.6043 0.0000  4 Cd 3.40, 4 Tl 3.49

3.
The following is a DFT calculation (PBE) of a geometry-optimized Tl2CdBr2 structure.

Properties
The energy relative to the lowest polymorph listed for this composition comes out at 32 meV per atom.

Cell: 9.3281 9.3281 4.0678 Å, 90.00 90.00 90.00°
Last column: nearest neighbours and their distance in Å.
Positions (direct):
1 Tl 0.1514 0.3486 0.0000  6 Br 3.37-3.43
2 Tl 0.3486 0.8486 0.0000  6 Br 3.37-3.43
3 Tl 0.6514 0.1514 0.0000  6 Br 3.37-3.43
4 Tl 0.8486 0.6514 0.0000  6 Br 3.37-3.43
5 Cd 0.0000 0.0000 0.5000  4 Br 3.58
6 Cd 0.5000 0.5000 0.5000  4 Br 3.58
7 Br 0.1446 0.6446 0.5000  6 Tl 3.37-3.43, 2 Cd 3.58
8 Br 0.3554 0.1446 0.5000  6 Tl 3.37-3.43, 2 Cd 3.58
9 Br 0.6446 0.8554 0.5000  6 Tl 3.37-3.43, 2 Cd 3.58
10 Br 0.8554 0.3554 0.5000  6 Tl 3.37-3.43, 2 Cd 3.58

4.
The following is a DFT calculation (PBE) of a geometry-optimized TlCdBr2 structure.

Properties
The energy relative to the lowest polymorph listed for this composition comes out at 87 meV per atom.

Cell: 9.1130 9.1130 9.1130 Å, 26.49 26.49 26.49°
Last column: nearest neighbours and their distance in Å.
Positions (direct):
1 Tl 0.0000 0.0000 0.0000  3 Br 3.03, 3 Cd 3.18
2 Cd 0.7451 0.7451 0.7451  3 Br 2.84, 3 Tl 3.18
3 Br 0.2640 0.2640 0.2640  3 Tl 3.03
4 Br 0.4687 0.4687 0.4687  3 Cd 2.84

5.
The following is a DFT calculation (PBE) of a geometry-optimized TlCdBr3 structure.

Properties
The energy relative to the lowest polymorph listed for this composition comes out at 0 meV per atom.

Cell: 9.6695 4.2088 15.6442 Å, 90.00 90.00 90.00°
Last column: nearest neighbours and their distance in Å.
Positions (direct):
1 Tl 0.0506 0.2500 0.1785  8 Br 3.36-3.60
2 Tl 0.4494 0.7500 0.6785  8 Br 3.36-3.60
3 Tl 0.5506 0.2500 0.3215  8 Br 3.36-3.60
4 Tl 0.9494 0.7500 0.8215  8 Br 3.36-3.60
5 Cd 0.1689 0.7500 0.4467  6 Br 2.72-2.89
6 Cd 0.3311 0.2500 0.9467  6 Br 2.72-2.89
7 Cd 0.6689 0.7500 0.0533  6 Br 2.72-2.89
8 Cd 0.8311 0.2500 0.5533  6 Br 2.72-2.89
9 Br 0.0191 0.7500 0.6028  3 Cd 2.84-2.89
10 Br 0.1656 0.7500 0.0087  2 Cd 2.82
11 Br 0.2154 0.2500 0.7884  1 Cd 2.72
12 Br 0.2846 0.7500 0.2884  1 Cd 2.72
13 Br 0.3344 0.2500 0.5087  2 Cd 2.82
14 Br 0.4809 0.2500 0.1028  3 Cd 2.84-2.89
15 Br 0.5191 0.7500 0.8972  3 Cd 2.84-2.89
16 Br 0.6656 0.7500 0.4913  2 Cd 2.82
17 Br 0.7154 0.2500 0.7116  1 Cd 2.72
18 Br 0.7846 0.7500 0.2116  1 Cd 2.72
19 Br 0.8344 0.2500 0.9913  2 Cd 2.82
20 Br 0.9809 0.2500 0.3972  3 Cd 2.84-2.89

6.
The following is a DFT calculation (PBE) of a geometry-optimized TlCd2Br5 structure.

Properties
The calculation puts the electronic total energy at -0.0878 Ha/atom.

Cell: 7.0333 7.0333 13.9112 Å, 90.00 90.00 130.98°
Last column: nearest neighbours and their distance in Å.
Positions (direct):
1 Tl 0.0198 0.9802 0.7500  5 Br 3.23-3.43
2 Tl 0.9802 0.0198 0.2500  5 Br 3.23-3.43
3 Cd 0.3512 0.6488 0.5590  6 Br 2.70-2.94
4 Cd 0.3512 0.6488 0.9410  6 Br 2.70-2.94
5 Cd 0.6488 0.3512 0.0590  6 Br 2.70-2.94
6 Cd 0.6488 0.3512 0.4410  6 Br 2.70-2.94
7 Br 0.1612 0.8388 0.0332  3 Cd 2.75-2.94
8 Br 0.1612 0.8388 0.4668  3 Cd 2.75-2.94
9 Br 0.2723 0.7277 0.7500  2 Cd 2.84
10 Br 0.4497 0.5503 0.1236  2 Cd 2.70-2.84
11 Br 0.4497 0.5503 0.3764  2 Cd 2.70-2.84
12 Br 0.5503 0.4497 0.6236  2 Cd 2.70-2.84
13 Br 0.5503 0.4497 0.8764  2 Cd 2.70-2.84
14 Br 0.7277 0.2723 0.2500  2 Cd 2.84
15 Br 0.8388 0.1612 0.5332  3 Cd 2.75-2.94
16 Br 0.8388 0.1612 0.9668  3 Cd 2.75-2.94

Calculated density (computed, g/cm3): 5.058 6.255 6.390 5.963 5.806 5.298